(1)
First-principles (meta-GGA SCAN) data for a PBEsol-optimized structure of MgSi2SnO6, as listed in Alexandria via LeMat-Bulk.

Cell: 7.204 7.204 5.459 Å, 104.33 104.33 83.59°
Positions (direct):
Mg 0.207 0.793 0.750
Mg 0.793 0.207 0.250
Si 0.133 0.326 0.721
Si 0.326 0.133 0.221
Si 0.674 0.867 0.779
Si 0.867 0.674 0.279
Sn 0.356 0.644 0.250
Sn 0.644 0.356 0.750
O 0.093 0.721 0.378
O 0.172 0.551 0.832
O 0.212 0.234 0.452
O 0.234 0.212 0.952
O 0.279 0.907 0.122
O 0.449 0.828 0.668
O 0.551 0.172 0.332
O 0.721 0.093 0.878
O 0.766 0.788 0.048
O 0.788 0.766 0.548
O 0.828 0.449 0.168
O 0.907 0.279 0.622

## Properties
Calculated volume, Å³/atom: 13.3
Raw formation energy, kJ/mol of formula units: -2551
DFT total energy, eV per atom: -12.475
Total moment, μB/f.u.: 0.00

---

(2)
First-principles (meta-GGA SCAN) data for a PBEsol-optimized structure of KLaTa2, as listed in Alexandria via LeMat-Bulk.

Cell: 6.519 6.519 2.809 Å, 97.55 97.55 125.97°
Positions (direct):
K 0.000 0.000 0.000
La 0.500 0.500 0.000
Ta 0.000 0.500 0.500
Ta 0.500 0.000 0.500

## Properties
Calculated formation energy, eV/f.u.: 4.8
Calculated volume, Å³/atom: 23.1
DFT total energy, eV per atom: -44.958
Total moment, μB/f.u.: 0.20

---

(3)
First-principles (meta-GGA SCAN) data for a PBEsol-optimized structure of SrYTc, as listed in Alexandria via LeMat-Bulk.

Cell: 6.963 6.963 6.963 Å, 150.70 150.70 41.91°
Positions (direct):
Sr 0.000 0.000 0.000
Y 0.259 0.259 0.000
Tc 0.656 0.656 0.000

## Properties
Calculated formation energy, eV/f.u.: 1.3
Calculated volume, Å³/atom: 26.9
DFT total energy, eV per atom: -27.972
Total moment, μB/f.u.: 0.00

---

(4)
First-principles (meta-GGA SCAN) data for a PBEsol-optimized structure of SrLa3Cr4O12, as listed in Alexandria via LeMat-Bulk.

Cell: 5.399 5.471 7.683 Å, 90.00 91.06 90.00°
Positions (direct):
Sr 0.000 0.000 0.000
La 0.000 0.002 0.500
La 0.500 0.502 0.000
La 0.500 0.505 0.500
Cr 0.000 0.502 0.249
Cr 0.000 0.502 0.751
Cr 0.500 0.002 0.249
Cr 0.500 0.002 0.751
O 0.000 0.453 0.000
O 0.000 0.559 0.500
O 0.224 0.226 0.284
O 0.225 0.777 0.771
O 0.279 0.281 0.720
O 0.285 0.717 0.227
O 0.500 0.063 0.000
O 0.500 0.948 0.500
O 0.715 0.717 0.773
O 0.721 0.281 0.280
O 0.775 0.777 0.229
O 0.776 0.226 0.716

## Properties
Calculated volume, Å³/atom: 11.3
Raw formation energy, kJ/mol of formula units: -6079
DFT total energy, eV per atom: -18.146
Total moment, μB/f.u.: 11.00

---

Question: Among the records above, which one has the highest calculated volume?
Answer: SrYTc